1.
Ce2Ga4CoSn2 | GGA-PBE | optimized geometry

Properties
As for the symmetry: No. 139.

abc: 6.4101 6.4101 6.4101
angles: 120.08 120.08 89.86
Fractional positions:
Ce 0.2500 0.7500 0.5000
Ce 0.7500 0.2500 0.5000
Ga 0.2318 0.2318 0.4637
Ga 0.2318 0.7682 0.0000
Ga 0.7682 0.2318 0.0000
Ga 0.7682 0.7682 0.5363
Co 0.5000 0.5000 0.0000
Sn 0.2204 0.2204 0.0000
Sn 0.7796 0.7796 0.0000



2.
CeTaGa4Co2 | GGA-PBE | optimized geometry

Properties
As for the symmetry: No. 123.

abc: 4.0357 4.0357 9.0705
angles: 90.00 90.00 90.00
Fractional positions:
Ce 0.0000 0.0000 0.0000
Ta 0.0000 0.0000 0.5000
Ga 0.0000 0.5000 0.2554
Ga 0.0000 0.5000 0.7446
Ga 0.5000 0.0000 0.2554
Ga 0.5000 0.0000 0.7446
Co 0.5000 0.5000 0.3866
Co 0.5000 0.5000 0.6134



3.
TbCeGaCo | GGA-PBE | optimized geometry

Properties
As for the symmetry: No. 216.

abc: 4.9668 4.9668 4.9668
angles: 60.00 60.00 60.00
Fractional positions:
Tb 0.0000 0.0000 0.0000
Ce 0.5000 0.5000 0.5000
Ga 0.2500 0.2500 0.2500
Co 0.7500 0.7500 0.7500



4.
TbCe2GaCo | GGA-PBE | optimized geometry

Properties
As for the symmetry: No. 123.

abc: 4.8874 4.8874 5.4347
angles: 90.00 90.00 90.00
Fractional positions:
Tb 0.0000 0.0000 0.0000
Ce 0.0000 0.5000 0.5000
Ce 0.5000 0.0000 0.5000
Ga 0.5000 0.5000 0.0000
Co 0.0000 0.0000 0.5000



5.
Ce2ZnGa2Co5 | GGA-PBE | optimized geometry

Properties
As for the symmetry: No. 127.

abc: 9.4121 9.4121 3.4492
angles: 90.00 90.00 90.00
Fractional positions:
Ce 0.1782 0.3218 0.0000
Ce 0.3218 0.8218 0.0000
Ce 0.6782 0.1782 0.0000
Ce 0.8218 0.6782 0.0000
Zn 0.0000 0.0000 0.0000
Zn 0.5000 0.5000 0.0000
Ga 0.1194 0.6194 0.0000
Ga 0.3806 0.1194 0.0000
Ga 0.6194 0.8806 0.0000
Ga 0.8806 0.3806 0.0000
Co 0.0000 0.5000 0.5000
Co 0.0671 0.7934 0.5000
Co 0.2066 0.0671 0.5000
Co 0.2934 0.5671 0.5000
Co 0.4329 0.2934 0.5000
Co 0.5000 0.0000 0.5000
Co 0.5671 0.7066 0.5000
Co 0.7066 0.4329 0.5000
Co 0.7934 0.9329 0.5000
Co 0.9329 0.2066 0.5000



6.
Ce2ZnGa6Co | GGA-PBE | optimized geometry

Properties
As for the symmetry: No. 225.

abc: 6.6095 6.6095 6.6095
angles: 60.00 60.00 60.00
Fractional positions:
Ce 0.2500 0.2500 0.2500
Ce 0.7500 0.7500 0.7500
Zn 0.0000 0.0000 0.0000
Ga 0.2553 0.2553 0.7447
Ga 0.2553 0.7447 0.2553
Ga 0.2553 0.7447 0.7447
Ga 0.7447 0.2553 0.2553
Ga 0.7447 0.2553 0.7447
Ga 0.7447 0.7447 0.2553
Co 0.5000 0.5000 0.5000



7.
CeGd2Co | GGA-PBE | optimized geometry

Properties
As for the symmetry: No. 123.

abc: 3.4104 3.4104 8.7981
angles: 90.00 90.00 90.00
Fractional positions:
Ce 0.0000 0.0000 0.0000
Gd 0.5000 0.5000 0.3143
Gd 0.5000 0.5000 0.6857
Co 0.0000 0.0000 0.5000



8.
CeGdCo | GGA-PBE | optimized geometry

Properties
As for the symmetry: No. 216.

abc: 4.6996 4.6996 4.6996
angles: 60.00 60.00 60.00
Fractional positions:
Ce 0.0000 0.0000 0.0000
Gd 0.5000 0.5000 0.5000
Co 0.7500 0.7500 0.7500



Number 1: total energy -43.302 eV per cell, magnetization 0.19 μB per atom. Number 2: total energy -43.941 eV per cell, magnetization 0.42 μB per atom. Number 3: total energy -21.677 eV per cell, magnetization 0.13 μB per atom. Number 4: total energy -27.621 eV per cell, magnetization 0.08 μB per atom. Number 5: total energy -111.770 eV per cell, magnetization 0.00 μB per atom. Number 6: total energy -40.159 eV per cell, magnetization 0.23 μB per atom. Number 7: total energy -41.177 eV per cell, magnetization 3.74 μB per atom. Number 8: total energy -27.043 eV per cell, magnetization 2.13 μB per atom.